DFT (SCAN) results for NaZnCuTc2 at its PBEsol-relaxed geometry.

The formation enthalpy at 0 K comes out at 1.46 eV/atom. Its energy is -95.8 eV/f.u.

Cell and atoms, written as POSCAR:
```
NaZnCuTc2
1.0
4.544 0.000 0.000
0.000 4.544 0.000
0.000 0.000 4.583
Na Zn Cu Tc
1 1 1 2
Direct
0.000 0.000 0.000 Na
0.500 0.500 0.000 Zn
0.000 0.000 0.500 Cu
0.000 0.500 0.500 Tc
0.500 0.000 0.500 Tc
```